#one
A relaxed structure of Al3AuCl, computed with PBE.

The structure in POSCAR format:
```
Al3AuCl
1.0
-3.928 2.684 1.347
-2.774 -2.392 -3.322
-1.152 -3.395 3.406
Au Al Cl
1 3 1
direct
0.000 0.000 0.000 Au
0.000 0.500 0.000 Al
0.000 0.000 0.500 Al
0.500 0.000 0.000 Al
0.500 0.500 0.500 Cl
```

Output
- Space-group type: Pm-3m


#two
A relaxed structure of Al3AuCl, computed with PBE.

The structure in POSCAR format:
```
Al3AuCl
1.0
4.889 0.000 0.000
0.000 4.889 0.000
0.000 0.000 4.889
Au Al Cl
1 3 1
direct
0.500 0.500 0.500 Au
0.000 0.500 0.000 Al
0.000 0.000 0.500 Al
0.500 0.000 0.000 Al
0.000 0.000 0.000 Cl
```

Output
- Space-group type: Pm-3m


Short version: #two is the least stable of them.


#one
A relaxed structure of K2AlAuCl6, computed with PBE.

The structure in POSCAR format:
```
K2AlAuCl6
1.0
-4.184 -5.665 1.414
-6.527 -0.473 -2.962
-1.280 -4.884 -5.110
K Al Au Cl
2 1 1 6
direct
0.750 0.750 0.750 K
0.250 0.250 0.250 K
0.000 0.000 0.000 Al
0.500 0.500 0.500 Au
0.232 0.768 0.232 Cl
0.768 0.232 0.232 Cl
0.768 0.232 0.768 Cl
0.232 0.232 0.768 Cl
0.768 0.768 0.232 Cl
0.232 0.768 0.768 Cl
```

Output
- Space-group type: Fm-3m


#two
A relaxed structure of K2AlAuCl6, computed with PBE.

The structure in POSCAR format:
```
K2AlAuCl6
1.0
-3.906 -2.799 5.416
-5.842 -4.094 -0.267
3.307 -7.960 0.620
K Al Au Cl
2 1 1 6
direct
0.364 0.569 0.452 K
0.963 0.162 0.856 K
0.272 0.261 0.151 Al
0.656 0.878 0.651 Au
0.604 0.201 0.157 Cl
0.335 0.922 0.145 Cl
0.048 0.429 0.362 Cl
0.478 0.694 0.734 Cl
0.841 0.054 0.568 Cl
0.100 0.492 0.939 Cl
```

Output
- Space-group type: P1


Short version: #one is the least stable of them.


#one
A relaxed structure of AlPAuCl2, computed with PBE.

The structure in POSCAR format:
```
AlPAuCl2
1.0
4.447 0.000 0.000
0.000 4.447 0.000
0.000 0.000 5.315
P Au Al Cl
1 1 1 2
direct
0.000 0.000 0.500 P
0.500 0.500 0.500 Au
0.000 0.000 0.000 Al
0.000 0.500 0.000 Cl
0.500 0.000 0.000 Cl
```

Output
- Space-group type: P4/mmm


#two
A relaxed structure of AlPAuCl2, computed with PBE.

The structure in POSCAR format:
```
AlPAuCl2
1.0
-4.860 -2.123 -0.172
0.260 -0.168 -5.297
1.892 -4.350 0.231
P Au Al Cl
1 1 1 2
direct
0.000 0.000 0.500 P
0.000 0.000 0.000 Au
0.500 0.500 0.500 Al
0.000 0.500 0.000 Cl
0.500 0.000 0.000 Cl
```

Output
- Space-group type: P4/mmm


Short version: #two is the least stable of them.


#one
A relaxed structure of AlAuS2Cl, computed with PBE.

The structure in POSCAR format:
```
AlAuS2Cl
1.0
-2.142 -2.261 3.535
-3.414 -1.370 -2.945
2.345 -3.748 -0.975
S Au Al Cl
2 1 1 1
direct
0.000 0.500 0.000 S
0.500 0.000 0.000 S
0.500 0.500 0.500 Au
0.000 0.000 0.000 Al
0.000 0.000 0.500 Cl
```

Output
- Space-group type: P4/mmm


#two
A relaxed structure of AlAuS2Cl, computed with PBE.

The structure in POSCAR format:
```
AlAuS2Cl
1.0
-2.808 1.209 3.798
-3.836 -2.082 -2.173
1.106 -4.331 2.197
S Au Al Cl
2 1 1 1
direct
0.000 0.500 0.000 S
0.500 0.000 0.000 S
0.000 0.000 0.000 Au
0.500 0.500 0.500 Al
0.000 0.000 0.500 Cl
```

Output
- Space-group type: P4/mmm


Short version: #two is the least stable of them.